(1)
A plane-wave DFT calculation with PBE was carried out for a relaxed structure of OsO.

The structure in CIF format:
```
data_OsO
_chemical_formula_sum 'Os6 O6'
_space_group_name_H-M_alt 'P m n 21'
_space_group_IT_number 31
_cell_length_a 6.7437
_cell_length_b 4.6196
_cell_length_c 5.5836
_cell_angle_alpha 90.00
_cell_angle_beta 90.00
_cell_angle_gamma 90.00
loop_
_space_group_symop_operation_xyz
'x,y,z'
'-x+1/2,-y,z+1/2'
'-x,y,z'
'x+1/2,-y,z+1/2'
loop_
_atom_site_label
_atom_site_type_symbol
_atom_site_fract_x
_atom_site_fract_y
_atom_site_fract_z
Os1 Os 0.0000 0.1399 0.0000
Os2 Os 0.2164 0.4495 0.2198
O1 O 0.0000 0.3896 0.7313
O2 O 0.1916 0.7840 0.9959
```

## Properties
Raw total energy, hartree per atom: -0.298
Magnetic moment, μB per formula unit: 0.0
Relative energy among the computed polymorphs, meV/atom: 284
E_form (uncorrected), eV per atom: -0.03

=====

(2)
A plane-wave DFT calculation with PBE was carried out for a relaxed structure of OsO.

The structure in CIF format:
```
data_OsO
_chemical_formula_sum 'Os8 O8'
_space_group_name_H-M_alt 'I -4 3 m'
_space_group_IT_number 217
_space_group_name_Hall 'I -4 2 3'
_cell_length_a 6.7591
_cell_length_b 6.7591
_cell_length_c 6.7591
_cell_angle_alpha 90.00
_cell_angle_beta 90.00
_cell_angle_gamma 90.00
loop_
_atom_site_label
_atom_site_type_symbol
_atom_site_fract_x
_atom_site_fract_y
_atom_site_fract_z
Os1 Os 0.1288 0.1288 0.8712
O1 O 0.2079 0.2079 0.2079
```

## Properties
Raw total energy, hartree per atom: -0.268
Magnetic moment, μB per formula unit: 0.0
Relative energy among the computed polymorphs, meV/atom: 1117
E_form (uncorrected), eV per atom: 0.81

=====

(3)
A plane-wave DFT calculation with PBE was carried out for a relaxed structure of Os4O.

The structure in CIF format:
```
data_Os4O
_chemical_formula_sum 'Os4 O1'
_space_group_name_H-M_alt 'P m -3 m'
_space_group_IT_number 221
_space_group_name_Hall '-P 4 2 3'
_cell_length_a 4.0602
_cell_length_b 4.0602
_cell_length_c 4.0602
_cell_angle_alpha 90.00
_cell_angle_beta 90.00
_cell_angle_gamma 90.00
loop_
_atom_site_label
_atom_site_type_symbol
_atom_site_fract_x
_atom_site_fract_y
_atom_site_fract_z
Os1 Os 0.0000 0.0000 0.0000
Os2 Os 0.0000 0.5000 0.5000
O1 O 0.5000 0.5000 0.5000
```

## Properties
Raw total energy, hartree per atom: -0.331
Magnetic moment, μB per formula unit: 0.0
E_form (uncorrected), eV per atom: 0.97

=====

(4)
A plane-wave DFT calculation with PBE was carried out for a relaxed structure of OsO.

The structure in CIF format:
```
data_OsO
_chemical_formula_sum 'Os4 O4'
_space_group_name_H-M_alt 'F -4 3 m'
_space_group_IT_number 216
_space_group_name_Hall 'F -4 2 3'
_cell_length_a 4.6568
_cell_length_b 4.6568
_cell_length_c 4.6568
_cell_angle_alpha 90.00
_cell_angle_beta 90.00
_cell_angle_gamma 90.00
loop_
_atom_site_label
_atom_site_type_symbol
_atom_site_fract_x
_atom_site_fract_y
_atom_site_fract_z
Os1 Os 0.0000 0.0000 0.0000
O1 O 0.2500 0.2500 0.2500
```

## Properties
Raw total energy, hartree per atom: -0.277
Magnetic moment, μB per formula unit: 0.0
Relative energy among the computed polymorphs, meV/atom: 856
E_form (uncorrected), eV per atom: 0.55

=====

(5)
A plane-wave DFT calculation with PBE was carried out for a relaxed structure of OsO.

The structure in CIF format:
```
data_OsO
_chemical_formula_sum 'Os8 O8'
_space_group_name_H-M_alt 'I 4/m m m'
_space_group_IT_number 139
_space_group_name_Hall '-I 4 2'
_cell_length_a 8.6774
_cell_length_b 8.6774
_cell_length_c 2.7572
_cell_angle_alpha 90.00
_cell_angle_beta 90.00
_cell_angle_gamma 90.00
loop_
_atom_site_label
_atom_site_type_symbol
_atom_site_fract_x
_atom_site_fract_y
_atom_site_fract_z
Os1 Os 0.1520 0.1520 0.0000
O1 O 0.0000 0.3114 0.0000
```

## Properties
Raw total energy, hartree per atom: -0.303
Magnetic moment, μB per formula unit: 0.0
Relative energy among the computed polymorphs, meV/atom: 156
E_form (uncorrected), eV per atom: -0.16

=====

(6)
A plane-wave DFT calculation with PBE was carried out for a relaxed structure of OsO.

The structure in CIF format:
```
data_OsO
_chemical_formula_sum 'Os2 O2'
_space_group_name_H-M_alt 'P 63 m c'
_space_group_IT_number 186
_space_group_name_Hall 'P 6c -2c'
_cell_length_a 2.7352
_cell_length_b 2.7352
_cell_length_c 6.9686
_cell_angle_alpha 90.00
_cell_angle_beta 90.00
_cell_angle_gamma 120.00
loop_
_atom_site_label
_atom_site_type_symbol
_atom_site_fract_x
_atom_site_fract_y
_atom_site_fract_z
Os1 Os 0.3333 0.6667 0.0000
O1 O 0.3333 0.6667 0.7174
```

## Properties
Raw total energy, hartree per atom: -0.297
Magnetic moment, μB per formula unit: 0.0
Relative energy among the computed polymorphs, meV/atom: 329
E_form (uncorrected), eV per atom: 0.02

=====

(7)
A plane-wave DFT calculation with PBE was carried out for a relaxed structure of OsO.

The structure in CIF format:
```
data_OsO
_chemical_formula_sum 'Os2 O2'
_space_group_name_H-M_alt 'P m m n'
_space_group_IT_number 59
_cell_length_a 2.7095
_cell_length_b 2.9707
_cell_length_c 7.2490
_cell_angle_alpha 90.00
_cell_angle_beta 90.00
_cell_angle_gamma 90.00
loop_
_space_group_symop_operation_xyz
'x,y,z'
'-x,-y,-z'
'-x+1/2,-y+1/2,z'
'x+1/2,y+1/2,-z'
'x+1/2,-y,-z'
'-x+1/2,y,z'
'-x,y+1/2,-z'
'x,-y+1/2,z'
loop_
_atom_site_label
_atom_site_type_symbol
_atom_site_fract_x
_atom_site_fract_y
_atom_site_fract_z
Os1 Os 0.2500 0.2500 0.1183
O1 O 0.2500 0.7500 0.6894
```

## Properties
Raw total energy, hartree per atom: -0.309
Magnetic moment, μB per formula unit: 0.0
Relative energy among the computed polymorphs, meV/atom: 0
E_form (uncorrected), eV per atom: -0.31

=====

(8)
A plane-wave DFT calculation with PBE was carried out for a relaxed structure of OsO.

The structure in CIF format:
```
data_OsO
_chemical_formula_sum 'Os4 O4'
_space_group_name_H-M_alt 'F m -3 m'
_space_group_IT_number 225
_space_group_name_Hall '-F 4 2 3'
_cell_length_a 4.4999
_cell_length_b 4.4999
_cell_length_c 4.4999
_cell_angle_alpha 90.00
_cell_angle_beta 90.00
_cell_angle_gamma 90.00
loop_
_atom_site_label
_atom_site_type_symbol
_atom_site_fract_x
_atom_site_fract_y
_atom_site_fract_z
Os1 Os 0.0000 0.0000 0.0000
O1 O 0.0000 0.0000 0.5000
```

## Properties
Raw total energy, hartree per atom: -0.249
Magnetic moment, μB per formula unit: 0.4
Relative energy among the computed polymorphs, meV/atom: 1626
E_form (uncorrected), eV per atom: 1.31

=====

(9)
A plane-wave DFT calculation with PBE was carried out for a relaxed structure of OsO.

The structure in CIF format:
```
data_OsO
_chemical_formula_sum 'Os8 O8'
_space_group_name_H-M_alt 'P 21 21 21'
_space_group_IT_number 19
_cell_length_a 4.9056
_cell_length_b 5.0105
_cell_length_c 8.1614
_cell_angle_alpha 90.00
_cell_angle_beta 90.00
_cell_angle_gamma 90.00
loop_
_space_group_symop_operation_xyz
'x,y,z'
'-x+1/2,-y,z+1/2'
'x+1/2,-y+1/2,-z'
'-x,y+1/2,-z+1/2'
loop_
_atom_site_label
_atom_site_type_symbol
_atom_site_fract_x
_atom_site_fract_y
_atom_site_fract_z
Os1 Os 0.0476 0.1778 0.2779
Os2 Os 0.0486 0.4643 0.8120
O1 O 0.0337 0.4072 0.0544
O2 O 0.0769 0.8354 0.9048
```

## Properties
Raw total energy, hartree per atom: -0.299
Magnetic moment, μB per formula unit: 0.0
Relative energy among the computed polymorphs, meV/atom: 259
E_form (uncorrected), eV per atom: -0.05

=====

(10)
A plane-wave DFT calculation with PBE was carried out for a relaxed structure of Os3O.

The structure in CIF format:
```
data_Os3O
_chemical_formula_sum 'Os12 O4'
_space_group_name_H-M_alt 'F m -3 m'
_space_group_IT_number 225
_space_group_name_Hall '-F 4 2 3'
_cell_length_a 5.9615
_cell_length_b 5.9615
_cell_length_c 5.9615
_cell_angle_alpha 90.00
_cell_angle_beta 90.00
_cell_angle_gamma 90.00
loop_
_atom_site_label
_atom_site_type_symbol
_atom_site_fract_x
_atom_site_fract_y
_atom_site_fract_z
Os1 Os 0.0000 0.0000 0.0000
Os2 Os 0.2500 0.2500 0.2500
O1 O 0.0000 0.0000 0.5000
```

## Properties
Raw total energy, hartree per atom: -0.324
Magnetic moment, μB per formula unit: 0.0
E_form (uncorrected), eV per atom: 0.84

=====

(11)
A plane-wave DFT calculation with PBE was carried out for a relaxed structure of OsO.

The structure in CIF format:
```
data_OsO
_chemical_formula_sum 'Os4 O4'
_space_group_name_H-M_alt 'P 42/m n m'
_space_group_IT_number 136
_space_group_name_Hall '-P 4n 2n'
_cell_length_a 6.4858
_cell_length_b 6.4858
_cell_length_c 2.6930
_cell_angle_alpha 90.00
_cell_angle_beta 90.00
_cell_angle_gamma 90.00
loop_
_atom_site_label
_atom_site_type_symbol
_atom_site_fract_x
_atom_site_fract_y
_atom_site_fract_z
Os1 Os 0.1338 0.1338 0.0000
O1 O 0.1916 0.8084 0.0000
```

## Properties
Raw total energy, hartree per atom: -0.276
Magnetic moment, μB per formula unit: 0.0
Relative energy among the computed polymorphs, meV/atom: 887
E_form (uncorrected), eV per atom: 0.58

=====

(12)
A plane-wave DFT calculation with PBE was carried out for a relaxed structure of Os2O5.

The structure in CIF format:
```
data_Os2O5
_chemical_formula_sum 'Os8 O20'
_space_group_name_H-M_alt 'C 1 2/c 1'
_space_group_IT_number 15
_cell_length_a 12.4554
_cell_length_b 4.7749
_cell_length_c 5.3865
_cell_angle_alpha 90.00
_cell_angle_beta 101.91
_cell_angle_gamma 90.00
loop_
_space_group_symop_operation_xyz
'x,y,z'
'-x,-y,-z'
'-x,y,-z+1/2'
'x,-y,z+1/2'
'x+1/2,y+1/2,z'
'-x+1/2,-y+1/2,-z'
'-x+1/2,y+1/2,-z+1/2'
'x+1/2,-y+1/2,z+1/2'
loop_
_atom_site_label
_atom_site_type_symbol
_atom_site_fract_x
_atom_site_fract_y
_atom_site_fract_z
Os1 Os 0.1414 0.2436 0.2824
O1 O 0.0000 0.4098 0.2500
O2 O 0.1032 0.0596 0.9706
O3 O 0.2018 0.4222 0.6278
```

## Properties
Raw total energy, hartree per atom: -0.282
Magnetic moment, μB per formula unit: 0.0
E_form (uncorrected), eV per atom: -0.93

=====

Question: Among the records above, which one has the lowest E_form (uncorrected)?
Answer: Os2O5